# CdTeS2 PBE relaxed
# Formation energy without anion corrections   4 kJ per mole of atoms
# Offset from the most stable computed form   0.149 eV per atom
data_CdTeS2
_symmetry_space_group_name_H-M 'I -4 2 d'
_symmetry_Int_Tables_number 122
_symmetry_space_group_name_Hall 'I -4 2bw'
_cell_length_a 5.359
_cell_length_b 5.359
_cell_length_c 15.303
_cell_angle_alpha 90.00
_cell_angle_beta 90.00
_cell_angle_gamma 90.00
loop_
_atom_site_label
_atom_site_type_symbol
_atom_site_fract_x
_atom_site_fract_y
_atom_site_fract_z
Cd1 Cd 0.000 0.000 0.000
Te1 Te 0.000 0.000 0.500
S1 S 0.250 0.250 0.125

=====

# Y2Cd3Ag2 PBE relaxed
# ΔE_f   -0.24 eV/atom
# Offset from the most stable computed form   0.050 eV per atom
data_Y2Cd3Ag2
_symmetry_space_group_name_H-M 'C 1 2/m 1'
_symmetry_Int_Tables_number 12
_cell_length_a 10.564
_cell_length_b 4.245
_cell_length_c 7.447
_cell_angle_alpha 90.00
_cell_angle_beta 96.08
_cell_angle_gamma 90.00
loop_
_symmetry_equiv_pos_as_xyz
'x,y,z'
'-x,-y,-z'
'-x,y,-z'
'x,-y,z'
'x+1/2,y+1/2,z'
'-x+1/2,-y+1/2,-z'
'-x+1/2,y+1/2,-z'
'x+1/2,-y+1/2,z'
loop_
_atom_site_label
_atom_site_type_symbol
_atom_site_fract_x
_atom_site_fract_y
_atom_site_fract_z
Y1 Y 0.121 0.000 0.336
Cd1 Cd 0.000 0.500 0.000
Cd2 Cd 0.194 0.000 0.871
Ag1 Ag 0.093 0.500 0.643

=====

# TaGaRe3 PBE relaxed
# ΔE_f   2.35 eV/atom
# Offset from the most stable computed form   0.787 eV per atom
data_TaGaRe3
_symmetry_space_group_name_H-M 'P m -3 m'
_symmetry_Int_Tables_number 221
_symmetry_space_group_name_Hall '-P 4 2 3'
_cell_length_a 4.798
_cell_length_b 4.798
_cell_length_c 4.798
_cell_angle_alpha 90.00
_cell_angle_beta 90.00
_cell_angle_gamma 90.00
loop_
_atom_site_label
_atom_site_type_symbol
_atom_site_fract_x
_atom_site_fract_y
_atom_site_fract_z
Ta1 Ta 0.000 0.000 0.000
Ga1 Ga 0.500 0.500 0.500
Re1 Re 0.000 0.000 0.500

=====

# LaErPu2Sb4 PBE relaxed
# Formation energy without anion corrections   -84 kJ per mole of atoms
data_LaErPu2Sb4
_symmetry_space_group_name_H-M 'P 1 2/m 1'
_symmetry_Int_Tables_number 10
_cell_length_a 7.706
_cell_length_b 4.469
_cell_length_c 7.733
_cell_angle_alpha 90.00
_cell_angle_beta 109.54
_cell_angle_gamma 90.00
loop_
_symmetry_equiv_pos_as_xyz
'x,y,z'
'-x,-y,-z'
'-x,y,-z'
'x,-y,z'
loop_
_atom_site_label
_atom_site_type_symbol
_atom_site_fract_x
_atom_site_fract_y
_atom_site_fract_z
La1 La 0.000 0.000 0.000
Er1 Er 0.000 0.500 0.500
Pu1 Pu 0.500 0.000 0.500
Pu2 Pu 0.500 0.500 0.000
Sb1 Sb 0.252 0.000 0.743
Sb2 Sb 0.258 0.500 0.261

=====

# CoRu2Cl PBE relaxed
# Formation energy without anion corrections   71 kJ per mole of atoms
# Offset from the most stable computed form   0.381 eV per atom
data_CoRu2Cl
_symmetry_space_group_name_H-M 'I m m 2'
_symmetry_Int_Tables_number 44
_cell_length_a 2.804
_cell_length_b 4.367
_cell_length_c 8.855
_cell_angle_alpha 90.00
_cell_angle_beta 90.00
_cell_angle_gamma 90.00
loop_
_symmetry_equiv_pos_as_xyz
'x,y,z'
'-x,-y,z'
'-x,y,z'
'x,-y,z'
'x+1/2,y+1/2,z+1/2'
'-x+1/2,-y+1/2,z+1/2'
'-x+1/2,y+1/2,z+1/2'
'x+1/2,-y+1/2,z+1/2'
loop_
_atom_site_label
_atom_site_type_symbol
_atom_site_fract_x
_atom_site_fract_y
_atom_site_fract_z
Co1 Co 0.000 0.000 0.000
Ru1 Ru 0.000 0.000 0.531
Ru2 Ru 0.000 0.500 0.772
Cl1 Cl 0.000 0.500 0.265

=====

# ThPdRhPb PBE relaxed
# ΔE_f   -0.55 eV/atom
data_ThPdRhPb
_symmetry_space_group_name_H-M 'F -4 3 m'
_symmetry_Int_Tables_number 216
_symmetry_space_group_name_Hall 'F -4 2 3'
_cell_length_a 7.013
_cell_length_b 7.013
_cell_length_c 7.013
_cell_angle_alpha 90.00
_cell_angle_beta 90.00
_cell_angle_gamma 90.00
loop_
_atom_site_label
_atom_site_type_symbol
_atom_site_fract_x
_atom_site_fract_y
_atom_site_fract_z
Th1 Th 0.000 0.000 0.000
Pd1 Pd 0.250 0.250 0.750
Rh1 Rh 0.250 0.250 0.250
Pb1 Pb 0.000 0.000 0.500

=====

So what do the calculations give for calculated volume? Going down the list: 27.5 23.7 22.1 31.4 13.6 21.6 A^3/atom.